# Ir5Ru2Rh3 | Alexandria via LeMat-Bulk | GGA-PBE | optimized geometry
# - Crystal system: orthorhombic
# - ΔE to the lowest computed polymorph: 187 kJ/mol of formula units
# - Electronic total energy: -0.290 hartree per atom
data_Ir5Ru2Rh3
_space_group_name_H-M_alt 'I b a m'
_space_group_IT_number 72
_space_group_name_Hall '-I 2 2c'
_cell_length_a 10.261
_cell_length_b 12.389
_cell_length_c 5.091
_cell_angle_alpha 90.00
_cell_angle_beta 90.00
_cell_angle_gamma 90.00
loop_
_atom_site_label
_atom_site_type_symbol
_atom_site_fract_x
_atom_site_fract_y
_atom_site_fract_z
Ir1 Ir 0.000 0.000 0.250
Ir2 Ir 0.141 0.350 0.000
Ir3 Ir 0.244 0.000 0.250
Ru1 Ru 0.106 0.287 0.500
Rh1 Rh 0.000 0.500 0.250
Rh2 Rh 0.116 0.155 0.000



# BeBMo2Au | Alexandria via LeMat-Bulk | GGA-PBE | optimized geometry
# - Crystal system: tetragonal
# - Electronic total energy: -0.211 hartree per atom
data_BeBMo2Au
_space_group_name_H-M_alt 'P 4/m m m'
_space_group_IT_number 123
_space_group_name_Hall '-P 4 2'
_cell_length_a 4.210
_cell_length_b 4.210
_cell_length_c 4.119
_cell_angle_alpha 90.00
_cell_angle_beta 90.00
_cell_angle_gamma 90.00
loop_
_atom_site_label
_atom_site_type_symbol
_atom_site_fract_x
_atom_site_fract_y
_atom_site_fract_z
Be1 Be 0.000 0.000 0.000
B1 B 0.500 0.500 0.500
Mo1 Mo 0.000 0.500 0.000
Au1 Au 0.000 0.000 0.500